Computed, not measured: crystalline PmZnPt2 at its relaxed geometry at the GGA-PBE level of DFT.

Results
The value obtained for the spin magnetization is 0.0 μB/f.u. The value obtained for the energy is -86.724 eV for the cell shown.

abc: 7.4178 7.1473 5.7757
angles: 90.00 90.00 90.00
Space group Pnma (No. 62)
One atom of each set of equivalent atoms:
Pm (0.0296, 0.2500, 0.1459) x4
Zn (0.1145, 0.7500, 0.3493) x4
Pt (0.1836, 0.0505, 0.5820) x8

Computed, not measured: crystalline Pm2ZnPt3 at its relaxed geometry at the GGA-PBE level of DFT.

Results
The value obtained for the energy above the most stable polymorph in this dataset is 0.000 eV per atom. The value obtained for the spin magnetization is 0.0 μB/f.u. The value obtained for the energy is -69.735 eV for the cell shown.

abc: 5.6191 5.6191 8.5348
angles: 90.00 90.00 120.00
Space group P6_3/mmc (No. 194)
One atom of each set of equivalent atoms:
Pm (0.3333, 0.6667, 0.0596) x4
Zn (0.0000, 0.0000, 0.0000) x2
Pt (0.1673, 0.3346, 0.7500) x6

Computed, not measured: crystalline PmZn4Pt2 at its relaxed geometry at the GGA-PBE level of DFT.

Results
The value obtained for the spin magnetization is 0.0 μB/f.u. The value obtained for the energy is -53.059 eV for the cell shown.

abc: 7.5936 7.5936 4.2856
angles: 90.00 90.00 90.00
Space group P4_2/mnm (No. 136)
One atom of each set of equivalent atoms:
Pm (0.0000, 0.0000, 0.0000) x2
Zn (0.0965, 0.3513, 0.5000) x8
Pt (0.2166, 0.7834, 0.5000) x4

Computed, not measured: crystalline Pm2Zn2Pt15 at its relaxed geometry at the GGA-PBE level of DFT.

Results
The value obtained for the spin magnetization is 0.0 μB/f.u. The value obtained for the energy is -336.203 eV for the cell shown.

abc: 9.2769 9.2769 13.4923
angles: 90.00 90.00 120.00
Space group R-3m (No. 166, hexagonal axes)
One atom of each set of equivalent atoms:
Pm (0.0000, 0.0000, 0.1541) x6
Zn (0.0000, 0.0000, 0.4039) x6
Pt (0.0000, 0.3125, 0.5000) x18
Pt (0.0000, 0.5000, 0.0000) x9
Pt (0.9997, 0.4998, 0.3425) x18

Computed, not measured: crystalline PmZn2Pt6 at its relaxed geometry at the GGA-PBE level of DFT.

Results
The value obtained for the spin magnetization is 0.0 μB/f.u. The value obtained for the energy is -365.998 eV for the cell shown.

abc: 11.3256 11.3256 11.3256
angles: 90.00 90.00 90.00
Space group Fd-3m (No. 227, origin choice 2)
One atom of each set of equivalent atoms:
Pm (0.1250, 0.1250, 0.1250) x8
Zn (0.0000, 0.0000, 0.5000) x16
Pt (0.1198, 0.3750, 0.3750) x48

Computed, not measured: crystalline PmZn2Pt at its relaxed geometry at the GGA-PBE level of DFT.

Results
The value obtained for the energy above the most stable polymorph in this dataset is 0.252 eV per atom. The value obtained for the spin magnetization is 0.0 μB/f.u. The value obtained for the energy is -15.134 eV for the cell shown.

abc: 4.0837 4.0837 4.7768
angles: 90.00 90.00 90.00
Space group P4/mmm (No. 123)
One atom of each set of equivalent atoms:
Pm (0.0000, 0.0000, 0.0000) x1
Zn (0.0000, 0.5000, 0.5000) x2
Pt (0.5000, 0.5000, 0.0000) x1